# 1
KNb3H: optimized geometry, PBE.

Cell lengths 4.423, 4.423, 4.423 Å; angles 90.00, 90.00, 90.00 degrees
Space group Pm-3m (No. 221)
Unique sites:
K1 0.000 0.000 0.000 (multiplicity 1)
Nb1 0.000 0.500 0.500 (multiplicity 3)
H1 0.500 0.500 0.500 (multiplicity 1)

Results
E above lowest polymorph: 0 meV/atom

# 2
KNbHO2: optimized geometry, PBE.

Cell lengths 4.063, 4.063, 3.992 Å; angles 90.00, 90.00, 90.00 degrees
Space group P4/mmm (No. 123)
Unique sites:
K1 0.000 0.000 0.000 (multiplicity 1)
Nb1 0.500 0.500 0.500 (multiplicity 1)
H1 0.500 0.500 0.000 (multiplicity 1)
O1 0.000 0.500 0.500 (multiplicity 2)

# 3
KNbHSe2: optimized geometry, PBE.

Cell lengths 5.151, 5.151, 3.555 Å; angles 90.00, 90.00, 90.00 degrees
Space group P4/mmm (No. 123)
Unique sites:
K1 0.000 0.000 0.000 (multiplicity 1)
Nb1 0.500 0.500 0.000 (multiplicity 1)
H1 0.500 0.500 0.500 (multiplicity 1)
Se1 0.000 0.500 0.500 (multiplicity 2)

# 4
KNdH: optimized geometry, PBE.

Cell lengths 14.307, 3.653, 6.322 Å; angles 90.00, 90.00, 90.00 degrees
Space group Amm2 (No. 38)
Unique sites:
K1 0.123 0.000 0.000 (multiplicity 4)
Nd1 0.385 0.000 0.339 (multiplicity 4)
H1 0.000 0.000 0.333 (multiplicity 2)
H2 0.500 0.000 0.006 (multiplicity 2)

# 5
KNdH6Pt2: optimized geometry, PBE.

Cell lengths 9.212, 8.720, 7.709 Å; angles 90.00, 111.57, 90.00 degrees
Space group C2/c (No. 15)
Unique sites:
K1 0.000 0.100 0.250 (multiplicity 4)
Nd1 0.000 0.431 0.750 (multiplicity 4)
H1 0.022 0.343 0.052 (multiplicity 8)
H2 0.092 0.175 0.776 (multiplicity 8)
H3 0.238 0.421 0.337 (multiplicity 8)
Pt1 0.220 0.333 0.138 (multiplicity 8)

# 6
K2NiH5: optimized geometry, PBE.

Cell lengths 5.670, 5.670, 3.652 Å; angles 90.00, 90.00, 90.00 degrees
Space group P4/mmm (No. 123)
Unique sites:
K1 0.000 0.500 0.000 (multiplicity 2)
Ni1 0.000 0.000 0.500 (multiplicity 1)
H1 0.000 0.000 0.000 (multiplicity 1)
H2 0.192 0.192 0.500 (multiplicity 4)

Results
E above lowest polymorph: 0 meV/atom

# 7
KNi3H: optimized geometry, PBE.

Cell lengths 3.960, 3.960, 3.960 Å; angles 90.00, 90.00, 90.00 degrees
Space group Pm-3m (No. 221)
Unique sites:
K1 0.000 0.000 0.000 (multiplicity 1)
Ni1 0.000 0.500 0.500 (multiplicity 3)
H1 0.500 0.500 0.500 (multiplicity 1)

# 8
KNiH3: optimized geometry, PBE.

Cell lengths 5.5175, 5.5175, 12.3309 Å; angles 90.00, 90.00, 120.00 degrees
Space group R3m (No. 160, hexagonal axes)
Unique sites:
K1 0.0000 0.0000 0.0000 (multiplicity 3)
K2 0.0000 0.0000 0.2473 (multiplicity 3)
Ni1 0.0000 0.0000 0.5026 (multiplicity 3)
Ni2 0.0000 0.0000 0.7079 (multiplicity 3)
H1 0.0023 0.5011 0.1040 (multiplicity 9)
H2 0.1037 0.2075 0.6060 (multiplicity 9)

# 9
K3Ni5H12: optimized geometry, PBE.

Cell lengths 11.723, 11.723, 11.723 Å; angles 90.00, 90.00, 90.00 degrees
Space group Ia-3d (No. 230)
Unique sites:
K1 0.000 0.250 0.125 (multiplicity 24)
Ni1 0.000 0.000 0.000 (multiplicity 16)
Ni2 0.000 0.250 0.375 (multiplicity 24)
H1 0.028 0.132 0.951 (multiplicity 96)

# 10
K2NiH: optimized geometry, PBE.

Cell lengths 7.829, 7.829, 8.670 Å; angles 90.00, 90.00, 90.00 degrees
Space group I-42d (No. 122)
Unique sites:
K1 0.174 0.250 0.125 (multiplicity 8)
Ni1 0.000 0.000 0.500 (multiplicity 4)
H1 0.000 0.000 0.000 (multiplicity 4)

Results
E above lowest polymorph: 0 meV/atom

# 11
KNi2H7: optimized geometry, PBE.

Cell lengths 4.881, 9.432, 3.404 Å; angles 90.00, 90.00, 90.00 degrees
Space group Cmmm (No. 65)
Unique sites:
K1 0.000 0.000 0.000 (multiplicity 2)
Ni1 0.000 0.315 0.500 (multiplicity 4)
H1 0.000 0.329 0.000 (multiplicity 4)
H2 0.000 0.500 0.500 (multiplicity 2)
H3 0.177 0.168 0.500 (multiplicity 8)

# 12
KNi4H7: optimized geometry, PBE.

Cell lengths 3.697, 3.697, 14.015 Å; angles 90.00, 90.00, 90.00 degrees
Space group I4/mmm (No. 139)
Unique sites:
K1 0.000 0.000 0.000 (multiplicity 2)
Ni1 0.000 0.000 0.377 (multiplicity 4)
Ni2 0.000 0.500 0.250 (multiplicity 4)
H1 0.000 0.000 0.258 (multiplicity 4)
H2 0.000 0.000 0.500 (multiplicity 2)
H3 0.000 0.500 0.132 (multiplicity 8)

| no. | density (g cm⁻³) | total DFT energy (no corrections) (eV per atom) |
| --- | --- | --- |
| 1 | 6.1 | -5.86 |
| 2 | 4.2 | -6.51 |
| 3 | 5.1 | -4.36 |
| 4 | 3.7 | -3.00 |
| 5 | 6.7 | -4.22 |
| 6 | 2.0 | -3.28 |
| 7 | 5.8 | -3.62 |
| 8 | 3.1 | -3.44 |
| 9 | 3.5 | -3.50 |
| 10 | 1.7 | -2.26 |
| 11 | 3.5 | -3.64 |
| 12 | 4.9 | -4.02 |